(1)
Entry from Alexandria: crystalline BiPd2Pb at its relaxed geometry (GGA-PBE).

Values from the calculation:
The value obtained for the density of states at the Fermi level is 0.515 states/eV per atom. The space-group type is P4/mmm. For the formation energy, the calculation gives -0.197 eV per atom. The value obtained for the electronic total energy is -4.691 eV per atom. The calculation puts the size of the total moment at 0.000 Bohr magnetons per cell. The crystal system is tetragonal.

a b c (Å): 3.463 3.463 7.110
angles (deg): 90.00 90.00 90.00
Sites, in units of the cell vectors:
1 Bi 0.000 0.000 0.000
2 Pd 0.500 0.500 0.249
3 Pd 0.500 0.500 0.751
4 Pb 0.000 0.000 0.500

(2)
Entry from Alexandria: crystalline Ba5LaIn6 at its relaxed geometry (GGA-PBE).

Values from the calculation:
The value obtained for the density of states at the Fermi level is 0.742 states/eV per atom. The space-group type is Immm. For the formation energy, the calculation gives -0.411 eV per atom. The value obtained for the electronic total energy is -2.992 eV per atom. The calculation puts the size of the total moment at 0.000 Bohr magnetons per cell. The crystal system is orthorhombic.

a b c (Å): 10.410 10.410 10.410
angles (deg): 146.35 133.39 58.71
Sites, in units of the cell vectors:
1 Ba 0.000 0.000 0.000
2 Ba 0.157 0.657 0.500
3 Ba 0.314 0.314 0.000
4 Ba 0.686 0.686 0.000
5 Ba 0.843 0.343 0.500
6 La 0.500 0.000 0.500
7 In 0.128 0.844 0.284
8 In 0.297 0.500 0.797
9 In 0.440 0.156 0.284
10 In 0.560 0.844 0.716
11 In 0.703 0.500 0.203
12 In 0.872 0.156 0.716

(3)
Entry from Alexandria: crystalline B2CS at its relaxed geometry (GGA-PBE).

Values from the calculation:
The value obtained for the density of states at the Fermi level is 0.000 states/eV per atom. The calculation puts the formation energy from raw total energies at -0.03 eV per atom. The space-group type is Cm. The value obtained for the electronic total energy is -6.709 eV per atom. The calculation puts the size of the total moment at 0.000 Bohr magnetons per cell. Its polymorph energy (0 for the lowest one) is 0.130 eV per atom. The crystal system is monoclinic.

a b c (Å): 4.778 4.778 5.072
angles (deg): 106.48 106.48 35.02
Sites, in units of the cell vectors:
1 B 0.000 0.000 0.000
2 B 0.500 0.500 0.411
3 C 0.499 0.499 0.117
4 S 0.006 0.006 0.625

(4)
Entry from Alexandria: crystalline ScBe at its relaxed geometry (GGA-PBE).

Values from the calculation:
The value obtained for the density of states at the Fermi level is 0.785 states/eV per atom. The space-group type is I4/m. For the formation energy, the calculation gives 0.640 eV per atom. The value obtained for the electronic total energy is -4.389 eV per atom. The calculation puts the size of the total moment at 0.000 Bohr magnetons per cell. The crystal system is tetragonal.

a b c (Å): 8.208 8.208 8.208
angles (deg): 91.67 91.67 160.34
Sites, in units of the cell vectors:
1 Sc 0.054 0.669 0.723
2 Sc 0.331 0.054 0.386
3 Sc 0.669 0.946 0.614
4 Sc 0.946 0.331 0.277
5 Be 0.177 0.251 0.428
6 Be 0.251 0.823 0.074
7 Be 0.749 0.177 0.926
8 Be 0.823 0.749 0.572

(5)
Entry from Alexandria: crystalline Li3YSe at its relaxed geometry (GGA-PBE).

Values from the calculation:
The value obtained for the density of states at the Fermi level is 0.755 states/eV per atom. The calculation puts the formation energy from raw total energies at -0.27 eV per atom. The space-group type is Pm-3m. The value obtained for the electronic total energy is -3.404 eV per atom. The calculation puts the size of the total moment at 0.000 Bohr magnetons per cell. Its polymorph energy (0 for the lowest one) is 0.000 eV per atom. The crystal system is cubic.

a b c (Å): 4.813 4.813 4.813
angles (deg): 90.00 90.00 90.00
Sites, in units of the cell vectors:
1 Li 0.000 0.000 0.500
2 Li 0.000 0.500 0.000
3 Li 0.500 0.000 0.000
4 Y 0.500 0.500 0.500
5 Se 0.000 0.000 0.000

(6)
Entry from Alexandria: crystalline HfP at its relaxed geometry (GGA-PBE).

Values from the calculation:
The value obtained for the density of states at the Fermi level is 0.850 states/eV per atom. The space-group type is Pm-3n. For the formation energy, the calculation gives -0.358 eV per atom. The value obtained for the electronic total energy is -8.040 eV per atom. The calculation puts the size of the total moment at 0.000 Bohr magnetons per cell. The crystal system is cubic.

a b c (Å): 7.125 7.125 7.125
angles (deg): 90.00 90.00 90.00
Sites, in units of the cell vectors:
1 Hf 0.000 0.250 0.500
2 Hf 0.000 0.750 0.500
3 Hf 0.250 0.500 0.000
4 Hf 0.500 0.000 0.250
5 Hf 0.500 0.000 0.750
6 Hf 0.750 0.500 0.000
7 P 0.000 0.500 0.250
8 P 0.000 0.500 0.750
9 P 0.250 0.000 0.500
10 P 0.500 0.250 0.000
11 P 0.500 0.750 0.000
12 P 0.750 0.000 0.500

(7)
Entry from Alexandria: crystalline Zn2OsPt at its relaxed geometry (GGA-PBE).

Values from the calculation:
The value obtained for the density of states at the Fermi level is 0.694 states/eV per atom. The space-group type is P4mm. For the formation energy, the calculation gives 0.059 eV per atom. The value obtained for the electronic total energy is -4.896 eV per atom. The calculation puts the size of the total moment at 0.000 Bohr magnetons per cell. The crystal system is tetragonal.

a b c (Å): 2.743 2.743 7.861
angles (deg): 90.00 90.00 90.00
Sites, in units of the cell vectors:
1 Zn 0.000 0.000 0.000
2 Zn 0.500 0.500 0.262
3 Os 0.000 0.000 0.505
4 Pt 0.500 0.500 0.752

(8)
Entry from Alexandria: crystalline OsRuRh at its relaxed geometry (GGA-PBE).

Values from the calculation:
The value obtained for the density of states at the Fermi level is 0.959 states/eV per atom. The space-group type is P-6m2. For the formation energy, the calculation gives 0.280 eV per atom. The value obtained for the electronic total energy is -9.006 eV per atom. The calculation puts the size of the total moment at 0.000 Bohr magnetons per cell. Its polymorph energy (0 for the lowest one) is 0.225 eV per atom. The crystal system is hexagonal.

a b c (Å): 4.305 4.305 2.680
angles (deg): 90.00 90.00 120.00
Sites, in units of the cell vectors:
1 Os 0.000 0.000 0.000
2 Ru 0.333 0.667 0.500
3 Rh 0.667 0.333 0.500

(9)
Entry from Alexandria: crystalline CsHoCu2Br8 at its relaxed geometry (GGA-PBE).

Values from the calculation:
The value obtained for the density of states at the Fermi level is 0.681 states/eV per atom. The calculation puts the formation energy from raw total energies at -1.01 eV per atom. The space-group type is C2/m. The value obtained for the electronic total energy is -3.258 eV per atom. The calculation puts the size of the total moment at 2.138 Bohr magnetons per cell. The crystal system is monoclinic.

a b c (Å): 6.619 6.619 10.774
angles (deg): 93.16 93.16 72.16
Sites, in units of the cell vectors:
1 Cs 0.000 0.000 0.000
2 Ho 0.000 0.000 0.500
3 Cu 0.368 0.368 0.707
4 Cu 0.632 0.632 0.293
5 Br 0.236 0.757 0.305
6 Br 0.243 0.764 0.695
7 Br 0.262 0.262 0.506
8 Br 0.334 0.334 0.918
9 Br 0.666 0.666 0.082
10 Br 0.738 0.738 0.494
11 Br 0.757 0.236 0.305
12 Br 0.764 0.243 0.695

(10)
Entry from Alexandria: crystalline Tb4Sm2Y7 at its relaxed geometry (GGA-PBE).

Values from the calculation:
The value obtained for the density of states at the Fermi level is 1.444 states/eV per atom. The space-group type is P-1. For the formation energy, the calculation gives 0.019 eV per atom. The value obtained for the electronic total energy is -5.612 eV per atom. The calculation puts the size of the total moment at 0.000 Bohr magnetons per cell. The crystal system is triclinic.

a b c (Å): 6.186 8.001 9.464
angles (deg): 65.05 89.92 82.58
Sites, in units of the cell vectors:
1 Tb 0.077 0.038 0.308
2 Tb 0.308 0.654 0.231
3 Tb 0.692 0.346 0.769
4 Tb 0.923 0.962 0.692
5 Sm 0.462 0.730 0.847
6 Sm 0.538 0.270 0.153
7 Y 0.000 0.500 0.000
8 Y 0.154 0.578 0.614
9 Y 0.231 0.115 0.923
10 Y 0.385 0.192 0.539
11 Y 0.615 0.808 0.461
12 Y 0.769 0.885 0.077
13 Y 0.846 0.422 0.386

(11)
Entry from Alexandria: crystalline Pr2SbPPt6 at its relaxed geometry (GGA-PBE).

Values from the calculation:
The value obtained for the density of states at the Fermi level is 0.385 states/eV per atom. The calculation puts the formation energy from raw total energies at -0.87 eV per atom. The space-group type is Pmmn. The value obtained for the electronic total energy is -6.405 eV per atom. The calculation puts the size of the total moment at 0.000 Bohr magnetons per cell. The crystal system is orthorhombic.

a b c (Å): 5.640 8.545 8.680
angles (deg): 90.00 90.00 90.00
Sites, in units of the cell vectors:
1 Pr 0.250 0.000 0.240
2 Pr 0.250 0.500 0.240
3 Pr 0.750 0.000 0.760
4 Pr 0.750 0.500 0.760
5 Sb 0.250 0.250 0.790
6 Sb 0.750 0.750 0.210
7 P 0.250 0.750 0.741
8 P 0.750 0.250 0.259
9 Pt 0.003 0.250 0.500
10 Pt 0.007 0.750 0.959
11 Pt 0.250 0.503 0.617
12 Pt 0.250 0.997 0.617
13 Pt 0.493 0.750 0.959
14 Pt 0.497 0.250 0.500
15 Pt 0.503 0.750 0.500
16 Pt 0.507 0.250 0.041
17 Pt 0.750 0.003 0.383
18 Pt 0.750 0.497 0.383
19 Pt 0.993 0.250 0.041
20 Pt 0.997 0.750 0.500